A plane-wave DFT calculation with PBE-GGA was carried out for PrSm6Tm2Mg after structural relaxation.

CIF file:
```
data_PrSm6Tm2Mg
_chemical_formula_sum 'Pr4 Sm24 Tm8 Mg4'
_space_group_name_H-M_alt 'C 1 2/c 1'
_space_group_IT_number 15
_space_group_name_Hall '-C 2yc'
_cell_length_a 9.364
_cell_length_b 15.555
_cell_length_c 8.971
_cell_angle_alpha 90.00
_cell_angle_beta 91.50
_cell_angle_gamma 90.00
loop_
_atom_site_label
_atom_site_type_symbol
_atom_site_fract_x
_atom_site_fract_y
_atom_site_fract_z
Pr1 Pr 0.000 0.034 0.250
Sm1 Sm 0.043 0.166 0.948
Sm2 Sm 0.101 0.373 0.093
Sm3 Sm 0.246 0.213 0.302
Tm1 Tm 0.231 0.448 0.443
Mg1 Mg 0.000 0.436 0.750
```

---

A plane-wave DFT calculation with PBE-GGA was carried out for Pr6Sm2YMg after structural relaxation.

CIF file:
```
data_Pr6Sm2YMg
_chemical_formula_sum 'Pr24 Sm8 Y4 Mg4'
_space_group_name_H-M_alt 'C 1 2/c 1'
_space_group_IT_number 15
_space_group_name_Hall '-C 2yc'
_cell_length_a 9.361
_cell_length_b 15.702
_cell_length_c 9.393
_cell_angle_alpha 90.00
_cell_angle_beta 94.60
_cell_angle_gamma 90.00
loop_
_atom_site_label
_atom_site_type_symbol
_atom_site_fract_x
_atom_site_fract_y
_atom_site_fract_z
Pr1 Pr 0.040 0.177 0.448
Pr2 Pr 0.112 0.388 0.605
Pr3 Pr 0.219 0.212 0.796
Sm1 Sm 0.234 0.447 0.952
Y1 Y 0.000 0.024 0.750
Mg1 Mg 0.000 0.422 0.250
```

---

A plane-wave DFT calculation with PBE-GGA was carried out for PrSm2Y4Mg after structural relaxation.

CIF file:
```
data_PrSm2Y4Mg
_chemical_formula_sum 'Pr1 Sm2 Y4 Mg1'
_space_group_name_H-M_alt 'P 4/m m m'
_space_group_IT_number 123
_space_group_name_Hall '-P 4 2'
_cell_length_a 5.015
_cell_length_b 5.015
_cell_length_c 10.221
_cell_angle_alpha 90.00
_cell_angle_beta 90.00
_cell_angle_gamma 90.00
loop_
_atom_site_label
_atom_site_type_symbol
_atom_site_fract_x
_atom_site_fract_y
_atom_site_fract_z
Pr1 Pr 0.000 0.000 0.000
Sm1 Sm 0.000 0.000 0.500
Sm2 Sm 0.500 0.500 0.000
Y1 Y 0.000 0.500 0.256
Mg1 Mg 0.500 0.500 0.500
```

---

Going through the records in order, we get formation energy from the elements values of 0.1188, 0.1058, 0.0249 eV/atom.